Entry from the Alexandria database: MgZn2Cu2 after structural relaxation (PBE-GGA).

Output
ΔE to the lowest computed polymorph (kJ/mol of formula units): 3
Calculated density (g/cm3): 6.4
ΔE_f (eV per atom): -0.086

Lattice parameters (Å, degrees): 7.0684 7.0684 2.9277 90.00 90.00 90.00
Space group P4/mbm (No. 127)
Unique sites:
1 Mg 0.0000 0.0000 0.0000 [2 per cell]
2 Zn 0.1651 0.3349 0.5000 [4 per cell]
3 Cu 0.1308 0.6308 0.0000 [4 per cell]

Entry from the Alexandria database: Mg2Zn5Cu5 after structural relaxation (PBE-GGA).

Output
Calculated density (g/cm3): 6.3
ΔE_f (eV per atom): -0.094

Lattice parameters (Å, degrees): 4.1885 5.0469 8.5916 90.00 90.00 90.00
Space group Pmmm (No. 47)
Unique sites:
1 Mg 0.0000 0.0000 0.0000 [1 per cell]
2 Mg 0.0000 0.5000 0.5000 [1 per cell]
3 Zn 0.5000 0.0000 0.5000 [1 per cell]
4 Zn 0.5000 0.2500 0.2441 [4 per cell]
5 Cu 0.0000 0.0000 0.3342 [2 per cell]
6 Cu 0.0000 0.5000 0.1631 [2 per cell]
7 Cu 0.5000 0.5000 0.0000 [1 per cell]

Entry from the Alexandria database: MgZn10Cu2 after structural relaxation (PBE-GGA).

Output
Calculated density (g/cm3): 6.8
ΔE_f (eV per atom): -0.038

Lattice parameters (Å, degrees): 5.2241 12.0808 12.5055 90.00 90.00 90.00
Space group Fmmm (No. 69)
Unique sites:
1 Mg 0.0000 0.0000 0.0000 [4 per cell]
2 Zn 0.0000 0.1096 0.3928 [16 per cell]
3 Zn 0.0000 0.1774 0.1693 [16 per cell]
4 Zn 0.2500 0.0000 0.2500 [8 per cell]
5 Cu 0.2500 0.2500 0.0000 [8 per cell]